1.
This record from Alexandria via LeMat-Bulk describes AcPm3Ir2 after structural relaxation. The functional is GGA-PBE.

Computed properties:
uncorrected energy: -6.544 eV/atom

a = 8.909 Å, b = 8.909 Å, c = 12.312 Å
α = 121.04°, β = 121.04°, γ = 28.10°
Fractional positions:
Ac1 0.084 0.084 0.183
Ac2 0.916 0.916 0.817
Pm1 0.178 0.178 0.544
Pm2 0.283 0.283 0.915
Pm3 0.441 0.441 0.272
Pm4 0.559 0.559 0.728
Pm5 0.717 0.717 0.085
Pm6 0.822 0.822 0.456
Ir1 0.119 0.119 0.914
Ir2 0.368 0.368 0.630
Ir3 0.632 0.632 0.370
Ir4 0.881 0.881 0.086


2.
This record from Alexandria via LeMat-Bulk describes Ac5PmIr3 after structural relaxation. The functional is GGA-PBE.

Computed properties:
uncorrected energy: -6.330 eV/atom

a = 6.985 Å, b = 4.434 Å, c = 21.202 Å
α = 90.00°, β = 91.48°, γ = 90.00°
Fractional positions:
Ac1 0.195 0.000 0.397
Ac2 0.231 0.000 0.059
Ac3 0.264 0.500 0.888
Ac4 0.295 0.500 0.231
Ac5 0.303 0.500 0.568
Ac6 0.697 0.500 0.432
Ac7 0.705 0.500 0.769
Ac8 0.736 0.500 0.112
Ac9 0.769 0.000 0.941
Ac10 0.805 0.000 0.603
Pm1 0.211 0.000 0.728
Pm2 0.789 0.000 0.272
Ir1 0.000 0.500 0.000
Ir2 0.012 0.500 0.670
Ir3 0.487 0.000 0.831
Ir4 0.500 0.000 0.500
Ir5 0.513 0.000 0.169
Ir6 0.988 0.500 0.330


3.
This record from Alexandria via LeMat-Bulk describes Ac2Pm3Ir3 after structural relaxation. The functional is GGA-PBE.

Computed properties:
uncorrected energy: -6.630 eV/atom

a = 7.297 Å, b = 7.297 Å, c = 13.967 Å
α = 92.16°, β = 92.16°, γ = 47.21°
Fractional positions:
Ac1 0.000 0.000 0.000
Ac2 0.016 0.016 0.361
Ac3 0.327 0.327 0.853
Ac4 0.637 0.637 0.560
Pm1 0.358 0.358 0.487
Pm2 0.417 0.417 0.184
Pm3 0.603 0.603 0.821
Pm4 0.725 0.725 0.046
Pm5 0.733 0.733 0.314
Pm6 0.928 0.928 0.683
Ir1 0.457 0.457 0.675
Ir2 0.517 0.517 0.998
Ir3 0.532 0.532 0.368
Ir4 0.810 0.810 0.862
Ir5 0.837 0.837 0.491
Ir6 0.883 0.883 0.181


4.
This record from Alexandria via LeMat-Bulk describes AcPm3Ir3 after structural relaxation. The functional is GGA-PBE.

Computed properties:
uncorrected energy: -6.993 eV/atom

a = 7.633 Å, b = 7.633 Å, c = 7.633 Å
α = 71.07°, β = 71.07°, γ = 71.07°
Fractional positions:
Ac1 0.171 0.171 0.171
Ac2 0.829 0.829 0.829
Pm1 0.137 0.385 0.676
Pm2 0.324 0.863 0.615
Pm3 0.385 0.676 0.137
Pm4 0.615 0.324 0.863
Pm5 0.676 0.137 0.385
Pm6 0.863 0.615 0.324
Ir1 0.061 0.801 0.441
Ir2 0.199 0.559 0.939
Ir3 0.441 0.061 0.801
Ir4 0.559 0.939 0.199
Ir5 0.801 0.441 0.061
Ir6 0.939 0.199 0.559


5.
This record from Alexandria via LeMat-Bulk describes AcPmIr4 after structural relaxation. The functional is GGA-PBE.

Computed properties:
uncorrected energy: -8.007 eV/atom

a = 5.498 Å, b = 5.498 Å, c = 5.498 Å
α = 60.00°, β = 60.00°, γ = 60.00°
Fractional positions:
Ac1 0.000 0.000 0.000
Pm1 0.750 0.750 0.750
Ir1 0.375 0.375 0.375
Ir2 0.375 0.375 0.874
Ir3 0.375 0.874 0.375
Ir4 0.874 0.375 0.375


6.
This record from Alexandria via LeMat-Bulk describes Ac2PmIr after structural relaxation. The functional is GGA-PBE.

Computed properties:
uncorrected energy: -5.862 eV/atom

a = 7.242 Å, b = 6.801 Å, c = 12.279 Å
α = 90.00°, β = 90.00°, γ = 90.00°
Fractional positions:
Ac1 0.086 0.245 0.083
Ac2 0.086 0.255 0.417
Ac3 0.414 0.745 0.417
Ac4 0.414 0.755 0.083
Ac5 0.586 0.245 0.917
Ac6 0.586 0.255 0.583
Ac7 0.914 0.745 0.583
Ac8 0.914 0.755 0.917
Pm1 0.082 0.250 0.750
Pm2 0.418 0.750 0.750
Pm3 0.582 0.250 0.250
Pm4 0.918 0.750 0.250
Ir1 0.250 0.000 0.906
Ir2 0.250 0.500 0.594
Ir3 0.750 0.000 0.094
Ir4 0.750 0.500 0.406


Listing ΔE_f for the structures above in their given order: -0.531 -0.566 -0.499 -0.573 -0.623 -0.405 eV per atom.